Record 1
{"formula": "NpNiH2O6", "functional": "PBE+U", "state": "relaxed", "cell": [[5.1306, -0.2262, -0.2347], [1.3564, 6.7440, 0.4431], [1.3564, 0.1929, 6.7558]], "species": ["O", "O", "O", "O", "O", "O", "O", "O", "O", "O", "O", "O", "H", "H", "H", "H", "Ni", "Ni", "Np", "Np"], "frac_coords": [[0.1474, 0.2938, 0.4502], [0.9004, 0.3453, 0.8489], [0.4004, 0.8489, 0.3453], [0.4005, 0.1811, 0.0165], [0.3526, 0.5498, 0.7062], [0.0996, 0.6547, 0.1511], [0.5995, 0.8189, 0.9835], [0.5996, 0.1511, 0.6547], [0.8526, 0.7062, 0.5498], [0.9005, 0.0165, 0.1811], [0.6474, 0.4502, 0.2938], [0.0995, 0.9835, 0.8189], [0.2944, 0.3363, 0.3506], [0.7056, 0.6637, 0.6494], [0.7944, 0.3506, 0.3363], [0.2056, 0.6494, 0.6637], [0.7500, 0.0802, 0.9198], [0.2500, 0.9198, 0.0802], [0.2500, 0.2627, 0.7373], [0.7500, 0.7373, 0.2627]], "density_g_cm3": 5.51, "final_energy_ev_per_cell": -132.960, "space_group": "C2/c (15)"}

Record 2
{"formula": "NpNi2HO6", "functional": "PBE+U", "state": "relaxed", "cell": [[-4.5026, -0.5011, -2.8121], [0.1130, -1.3132, -5.1107], [-1.7146, -5.3698, -1.5844]], "species": ["H", "O", "O", "O", "O", "O", "O", "Np", "Ni", "Ni"], "frac_coords": [[0.9258, 0.6129, 0.6883], [0.5972, 0.2744, 0.2139], [0.1080, 0.4234, 0.7173], [0.6932, 0.1515, 0.7670], [0.3601, 0.7419, 0.7632], [0.2469, 0.9457, 0.2178], [0.9146, 0.6050, 0.2250], [0.3132, 0.3466, 0.0230], [0.5142, 0.5279, 0.4227], [0.9883, 0.0322, 0.9770]], "density_g_cm3": 6.37, "final_energy_ev_per_cell": -67.424, "space_group": "P1 (1)"}

Please write out number 2 again, unchanged.
{"formula": "NpNi2HO6", "functional": "PBE+U", "state": "relaxed", "cell": [[-4.5026, -0.5011, -2.8121], [0.1130, -1.3132, -5.1107], [-1.7146, -5.3698, -1.5844]], "species": ["H", "O", "O", "O", "O", "O", "O", "Np", "Ni", "Ni"], "frac_coords": [[0.9258, 0.6129, 0.6883], [0.5972, 0.2744, 0.2139], [0.1080, 0.4234, 0.7173], [0.6932, 0.1515, 0.7670], [0.3601, 0.7419, 0.7632], [0.2469, 0.9457, 0.2178], [0.9146, 0.6050, 0.2250], [0.3132, 0.3466, 0.0230], [0.5142, 0.5279, 0.4227], [0.9883, 0.0322, 0.9770]], "density_g_cm3": 6.37, "final_energy_ev_per_cell": -67.424, "space_group": "P1 (1)"}

Please write out number 2 again, unchanged.
{"formula": "NpNi2HO6", "functional": "PBE+U", "state": "relaxed", "cell": [[-4.5026, -0.5011, -2.8121], [0.1130, -1.3132, -5.1107], [-1.7146, -5.3698, -1.5844]], "species": ["H", "O", "O", "O", "O", "O", "O", "Np", "Ni", "Ni"], "frac_coords": [[0.9258, 0.6129, 0.6883], [0.5972, 0.2744, 0.2139], [0.1080, 0.4234, 0.7173], [0.6932, 0.1515, 0.7670], [0.3601, 0.7419, 0.7632], [0.2469, 0.9457, 0.2178], [0.9146, 0.6050, 0.2250], [0.3132, 0.3466, 0.0230], [0.5142, 0.5279, 0.4227], [0.9883, 0.0322, 0.9770]], "density_g_cm3": 6.37, "final_energy_ev_per_cell": -67.424, "space_group": "P1 (1)"}